Material: K2YW2
Method: DFT, SCAN
State: PBEsol geometry

abc: 3.5240 3.5240 13.7774
angles: 97.35 97.35 90.00
Closest atoms and distances in Å follow each position.
Fractional positions:
W: 0.7500 0.2500 0.5000  4 W 2.49
W: 0.2500 0.7500 0.5000  4 W 2.49
K: 0.6317 0.6317 0.2634  4 K 3.52, 4 W 3.66
K: 0.3683 0.3683 0.7366  4 K 3.52, 4 W 3.66
Y: 0.0000 0.0000 0.0000  4 Y 3.52

Calculated values
- Volume: 168.28 Å³/cell
- Formation enthalpy at 0 K: 1183 meV per atom
- Final energy: -35.59 eV/atom